# 1
DFT (PBE) results for a geometry-optimized Nd4Y7Th structure. Values from VASP.

Results
The total energy comes out at -5.684 eV per atom. The total magnetic moment comes out at 0.00 μB/f.u. As for the space-group type: C2/m. The calculation puts the mass density at 5.7 g cm⁻³.

Structure (Quantum ESPRESSO input):
```
&SYSTEM
  ibrav = 0, nat = 12, ntyp = 3
/
ATOMIC_SPECIES
Nd 144.24 Nd.upf
Y 88.91 Y.upf
Th 232.04 Th.upf
CELL_PARAMETERS angstrom
-2.4284 -3.0741 -4.5317
2.4807 -11.2799 2.3633
-6.4471 -2.0398 0.8794
ATOMIC_POSITIONS crystal
Nd 0.6412 0.2228 0.4948
Nd 0.7747 0.6667 0.7839
Nd 0.3588 0.7772 0.5052
Nd 0.2253 0.3333 0.2161
Y 0.9329 0.3133 0.8209
Y 0.0671 0.6867 0.1791
Y 0.2127 0.0768 0.4978
Y 0.3681 0.4954 0.7684
Y 0.6319 0.5046 0.2316
Y 0.5000 0.0000 0.0000
Y 0.7873 0.9232 0.5022
Th 0.0000 0.0000 0.0000
```

***

# 2
DFT (PBE) results for a geometry-optimized CrAg2Ru structure. Values from VASP.

Results
The total energy comes out at -5.206 eV per atom. The total magnetic moment comes out at 2.58 μB/f.u. As for the space-group type: I-42d. The calculation puts the mass density at 8.6 g cm⁻³.

Structure (Quantum ESPRESSO input):
```
&SYSTEM
  ibrav = 0, nat = 8, ntyp = 3
/
ATOMIC_SPECIES
Ru 101.07 Ru.upf
Ag 107.87 Ag.upf
Cr 52.00 Cr.upf
CELL_PARAMETERS angstrom
7.4044 0.0000 0.0000
0.0000 7.4044 0.0000
3.7022 3.7022 2.6066
ATOMIC_POSITIONS crystal
Ru 0.0000 0.0000 0.0000
Ru 0.7500 0.2500 0.5000
Ag 0.8750 0.8736 0.7500
Ag 0.1264 0.6250 0.2500
Ag 0.3750 0.3764 0.7500
Ag 0.6236 0.1250 0.2500
Cr 0.5000 0.5000 0.0000
Cr 0.2500 0.7500 0.5000
```

***

# 3
DFT (PBE) results for a geometry-optimized Sr4SiPd3 structure. Values from VASP.

Results
The total energy comes out at -4.037 eV per atom. The total magnetic moment comes out at 0.00 μB/f.u. As for the space-group type: Pmm2. The calculation puts the mass density at 5.0 g cm⁻³.

Structure (Quantum ESPRESSO input):
```
&SYSTEM
  ibrav = 0, nat = 8, ntyp = 3
/
ATOMIC_SPECIES
Sr 87.62 Sr.upf
Si 28.09 Si.upf
Pd 106.42 Pd.upf
CELL_PARAMETERS angstrom
-1.9119 2.1270 -3.4798
2.1714 -2.6673 -2.8233
-8.7366 -7.4033 0.2748
ATOMIC_POSITIONS crystal
Sr 0.5000 0.5000 0.3616
Sr 0.0000 0.5000 0.8552
Sr 0.0000 0.0000 0.1440
Sr 0.5000 0.0000 0.6344
Si 0.5000 0.5000 0.0466
Pd 0.0000 0.0000 0.4261
Pd 0.0000 0.5000 0.5738
Pd 0.5000 0.0000 0.9584
```

***

# 4
DFT (PBE) results for a geometry-optimized Na3Pr2ErSe6 structure. Values from VASP.

Results
The total energy comes out at -4.930 eV per atom. The total magnetic moment comes out at 0.00 μB/f.u. As for the space-group type: C2/m. The calculation puts the mass density at 5.0 g cm⁻³.

Structure (Quantum ESPRESSO input):
```
&SYSTEM
  ibrav = 0, nat = 12, ntyp = 4
/
ATOMIC_SPECIES
Na 22.99 Na.upf
Se 78.96 Se.upf
Pr 140.91 Pr.upf
Er 167.26 Er.upf
CELL_PARAMETERS angstrom
7.3615 -0.0014 -0.0009
-3.6802 6.3756 -0.0009
-1.2292 -2.1283 7.0172
ATOMIC_POSITIONS crystal
Na 0.1673 0.8327 0.5000
Na 0.5000 0.5000 0.5000
Na 0.8327 0.1673 0.5000
Se 0.2437 0.2437 0.7668
Se 0.7563 0.7563 0.2332
Se 0.4001 0.0782 0.2346
Se 0.9218 0.5999 0.7654
Se 0.0782 0.4001 0.2346
Se 0.5999 0.9218 0.7654
Pr 0.3335 0.6665 0.0000
Pr 0.6665 0.3335 0.0000
Er 0.0000 0.0000 0.0000
```